# CrAg2Te, PBEsol geometry, DFT meta-GGA SCAN
data_CrAg2Te
_chemical_formula_sum 'Cr4 Ag8 Te4'
_space_group_name_H-M_alt 'F -4 3 m'
_space_group_IT_number 216
_space_group_name_Hall 'F -4 2 3'
_cell_length_a 6.697
_cell_length_b 6.697
_cell_length_c 6.697
_cell_angle_alpha 90.00
_cell_angle_beta 90.00
_cell_angle_gamma 90.00
loop_
_atom_site_label
_atom_site_fract_x
_atom_site_fract_y
_atom_site_fract_z
_atom_site_occupancy
Cr1 0.000 0.000 0.000 1
Ag1 0.000 0.000 0.500 1
Ag2 0.250 0.250 0.250 1
Te1 0.250 0.250 0.750 1
# Volume, Å³/f.u.: 75.08
# Theoretical density, kg/m3: 8743
# Total magnetic moment, μB/f.u.: 4.14
# D(E_F), states/eV per cell: 7.25
# E_form (uncorrected), eV/atom: 0.18


# KIr2Cl, PBEsol geometry, DFT meta-GGA SCAN
data_KIr2Cl
_chemical_formula_sum 'K2 Ir4 Cl2'
_space_group_name_H-M_alt 'I m m m'
_space_group_IT_number 71
_space_group_name_Hall '-I 2 2'
_cell_length_a 2.770
_cell_length_b 4.553
_cell_length_c 11.089
_cell_angle_alpha 90.00
_cell_angle_beta 90.00
_cell_angle_gamma 90.00
loop_
_atom_site_label
_atom_site_fract_x
_atom_site_fract_y
_atom_site_fract_z
_atom_site_occupancy
K1 0.000 0.000 0.000 1
Ir1 0.000 0.500 0.224 1
Cl1 0.000 0.000 0.500 1
# Volume, Å³/f.u.: 69.93
# Theoretical density, kg/m3: 10899
# Total magnetic moment, μB/f.u.: 0.00
# D(E_F), states/eV per cell: 5.95
# E_form (uncorrected), eV/atom: 0.43
# Energy above the lowest structure with this stoichiometry, eV/atom: 0.459


# SrSiHBr2, PBEsol geometry, DFT meta-GGA SCAN
data_SrSiHBr2
_chemical_formula_sum 'Sr1 Si1 H1 Br2'
_space_group_name_H-M_alt 'P 4/m m m'
_space_group_IT_number 123
_space_group_name_Hall '-P 4 2'
_cell_length_a 5.254
_cell_length_b 5.254
_cell_length_c 3.662
_cell_angle_alpha 90.00
_cell_angle_beta 90.00
_cell_angle_gamma 90.00
loop_
_atom_site_label
_atom_site_fract_x
_atom_site_fract_y
_atom_site_fract_z
_atom_site_occupancy
Sr1 0.000 0.000 0.000 1
Si1 0.500 0.500 0.000 1
H1 0.500 0.500 0.500 1
Br1 0.000 0.500 0.500 1
# Volume, Å³/f.u.: 101.11
# E_tot, eV per atom: -15.355
# Theoretical density, kg/m3: 4541
# Total magnetic moment, μB/f.u.: 0.00
# D(E_F), states/eV per cell: 1.63


# NaInTe2, PBEsol geometry, DFT meta-GGA SCAN
data_NaInTe2
_chemical_formula_sum 'Na4 In4 Te8'
_space_group_name_H-M_alt 'I 4/m c m'
_space_group_IT_number 140
_space_group_name_Hall '-I 4 2c'
_cell_length_a 8.197
_cell_length_b 8.197
_cell_length_c 7.115
_cell_angle_alpha 90.00
_cell_angle_beta 90.00
_cell_angle_gamma 90.00
loop_
_atom_site_label
_atom_site_fract_x
_atom_site_fract_y
_atom_site_fract_z
_atom_site_occupancy
Na1 0.000 0.000 0.250 1
In1 0.000 0.500 0.250 1
Te1 0.189 0.311 0.000 1
# Volume, Å³/f.u.: 119.51
# Theoretical density, kg/m3: 5460
# Total magnetic moment, μB/f.u.: 0.00
# E_form (uncorrected), eV/atom: -0.66


Which formula does entry 3 have?
SrSiHBr2